The following is a PBE with a Hubbard U calculation of a relaxed BaMnW2O8 crystal, from Alexandria via LeMat-Bulk.

POSCAR file:
```
BaMnW2O8
1.0
5.819 0.000 0.000
-2.910 5.040 0.000
0.000 0.000 7.070
O W Ba Mn
8 2 1 1
Direct
0.840 0.159 0.331 O
0.160 0.841 0.669 O
0.667 0.333 0.001 O
0.841 0.681 0.331 O
0.333 0.667 0.999 O
0.159 0.319 0.669 O
0.319 0.160 0.331 O
0.681 0.840 0.669 O
0.667 0.333 0.257 W
0.333 0.667 0.743 W
0.000 0.000 0.000 Ba
0.000 0.000 0.500 Mn
```

crystal system = trigonal
volume = 207 Å³ per cell
E_tot = -85.9 eV per cell
space group = P-3m1 (164)
DOS at the Fermi energy = 2.261 states/eV/f.u.
mass density = 5.510 g cm⁻³